No. 1
Material: Te2Au
Method: DFT, GGA-PBE
State: optimized geometry

Cell and atoms, written as CIF:
```
data_Te2Au
_symmetry_space_group_name_H-M 'P 1'
_symmetry_Int_Tables_number 1
_cell_length_a 5.2634
_cell_length_b 7.7049
_cell_length_c 10.5495
_cell_angle_alpha 104.39
_cell_angle_beta 94.90
_cell_angle_gamma 93.77
loop_
_symmetry_equiv_pos_as_xyz
'x,y,z'
loop_
_atom_site_label
_atom_site_type_symbol
_atom_site_fract_x
_atom_site_fract_y
_atom_site_fract_z
_atom_site_occupancy
Te1 Te 0.0000 0.0000 0.0000 1
Te2 Te 0.0036 0.2597 0.8146 1
Te3 Te 0.0475 0.5184 0.6318 1
Te4 Te 0.3853 0.5387 0.0295 1
Te5 Te 0.3939 0.5110 0.4227 1
Te6 Te 0.4784 0.6956 0.8210 1
Te7 Te 0.5810 0.0269 0.6404 1
Te8 Te 0.8359 0.9017 0.4089 1
Au1 Au 0.2692 0.2521 0.2013 1
Au2 Au 0.6266 0.2369 0.4685 1
Au3 Au 0.6859 0.2731 0.0192 1
Au4 Au 0.7508 0.0782 0.2183 1
```

Energy relative to the elements, uncorrected (eV per atom): 0.0614
Uncorrected energy (eV/atom): -3.126

---

No. 2
Material: AlSiBi3
Method: DFT, GGA-PBE
State: optimized geometry

Cell and atoms, written as CIF:
```
data_AlSiBi3
_symmetry_space_group_name_H-M 'P m -3 m'
_symmetry_Int_Tables_number 221
_symmetry_space_group_name_Hall '-P 4 2 3'
_cell_length_a 5.4487
_cell_length_b 5.4487
_cell_length_c 5.4487
_cell_angle_alpha 90.00
_cell_angle_beta 90.00
_cell_angle_gamma 90.00
loop_
_atom_site_label
_atom_site_type_symbol
_atom_site_fract_x
_atom_site_fract_y
_atom_site_fract_z
_atom_site_occupancy
Al1 Al 0.0000 0.0000 0.0000 1
Si1 Si 0.5000 0.5000 0.5000 1
Bi1 Bi 0.0000 0.5000 0.5000 1
```

Energy relative to the elements, uncorrected (eV per atom): 0.7064
Excess energy over the best structure of this formula in the dataset (meV/atom): 0
Uncorrected energy (eV/atom): -3.455

---

No. 3
Material: MgGeMo
Method: DFT, GGA-PBE
State: optimized geometry

Cell and atoms, written as CIF:
```
data_MgGeMo
_symmetry_space_group_name_H-M 'R -3 m'
_symmetry_Int_Tables_number 166
_symmetry_space_group_name_Hall '-R 3 2"'
_cell_length_a 4.2960
_cell_length_b 4.2960
_cell_length_c 20.8361
_cell_angle_alpha 90.00
_cell_angle_beta 90.00
_cell_angle_gamma 120.00
loop_
_atom_site_label
_atom_site_type_symbol
_atom_site_fract_x
_atom_site_fract_y
_atom_site_fract_z
_atom_site_occupancy
Mg1 Mg 0.0000 0.0000 0.1325 1
Ge1 Ge 0.0000 0.0000 0.4089 1
Mo1 Mo 0.0000 0.0000 0.2862 1
```

Energy of formation (meV/atom): 133
Uncorrected energy (eV/atom): -5.548

---

Number 1: V 411.22 Å³/cell. Number 2: V 161.76 Å³/cell. Number 3: V 333.03 Å³/cell.